# 1
DFT (PBE-GGA) results for a geometry-optimized TcPbBr structure.

Size of the total moment ... 1.24 μB/cell
Uncorrected formation energy ... 0.564 eV per atom
SG ... No. 42

Lattice parameters (Å, degrees): 8.5541 8.2148 3.2975 84.51 72.93 22.56
Last column: nearest neighbours and their distance in Å.
Positions (direct):
Tc 0.0000 0.0000 0.0000  2 Br 2.51
Pb 0.6528 0.6528 0.3472  2 Tc 2.94, 2 Pb 3.22
Br 0.3807 0.3807 0.6193  2 Tc 2.51

---

# 2
DFT (PBE-GGA) results for a geometry-optimized Tc2PbBr structure.

Size of the total moment ... 0.00 μB/cell
Uncorrected formation energy ... 0.829 eV per atom
SG ... No. 12

Lattice parameters (Å, degrees): 4.5890 4.5890 5.8510 103.11 103.11 39.29
Last column: nearest neighbours and their distance in Å.
Positions (direct):
Tc 0.2466 0.2466 0.3077  3 Br 2.64-2.69, 2 Tc 2.72, 2 Pb 2.88
Tc 0.7534 0.7534 0.6923  3 Br 2.64-2.69, 2 Tc 2.72, 2 Pb 2.88
Pb 0.5000 0.5000 0.0000  6 Tc 2.88-3.15, 2 Pb 3.09
Br 0.0000 0.0000 0.5000  6 Tc 2.64-2.69

---

# 3
DFT (PBE-GGA) results for a geometry-optimized Tc2PbBr structure.

Size of the total moment ... 0.00 μB/cell
Uncorrected formation energy ... 0.424 eV per atom
SG ... No. 160

Lattice parameters (Å, degrees): 10.5535 10.5535 10.5535 16.83 16.83 16.83
Last column: nearest neighbours and their distance in Å.
Positions (direct):
Tc 0.0000 0.0000 0.0000  3 Tc 2.64
Tc 0.2710 0.2710 0.2710  3 Tc 2.64, 3 Br 2.66
Pb 0.7473 0.7473 0.7473  3 Tc 3.08, 6 Pb 3.09
Br 0.5412 0.5412 0.5412  3 Tc 2.66

---

# 4
DFT (PBE-GGA) results for a geometry-optimized Tc2PbBr structure.

Size of the total moment ... 2.23 μB/cell
Uncorrected formation energy ... 1.008 eV per atom
SG ... No. 47

Lattice parameters (Å, degrees): 3.0699 4.6530 5.4080 90.00 90.00 90.00
Last column: nearest neighbours and their distance in Å.
Positions (direct):
Tc 0.0000 0.0000 0.0000  4 Br 2.79, 6 Tc 3.07-3.11
Tc 0.5000 0.0000 0.5000  4 Pb 2.79, 6 Tc 3.07-3.11
Pb 0.0000 0.5000 0.5000  4 Tc 2.79, 2 Pb 3.07, 4 Br 3.11
Br 0.5000 0.5000 0.0000  4 Tc 2.79, 2 Br 3.07, 4 Pb 3.11

---

# 5
DFT (PBE-GGA) results for a geometry-optimized TiTc2PbBr structure.

Size of the total moment ... 3.15 μB/cell
Uncorrected formation energy ... 1.020 eV per atom
SG ... No. 123

Lattice parameters (Å, degrees): 4.7762 4.7762 4.9612 90.00 90.00 90.00
Last column: nearest neighbours and their distance in Å.
Positions (direct):
Ti 0.0000 0.0000 0.0000  4 Tc 2.39, 2 Br 2.48
Tc 0.0000 0.5000 0.0000  2 Ti 2.39
Tc 0.5000 0.0000 0.0000  2 Ti 2.39
Pb 0.5000 0.5000 0.5000  4 Br 3.38, 8 Tc 3.44
Br 0.0000 0.0000 0.5000  2 Ti 2.48

---

# 6
DFT (PBE-GGA) results for a geometry-optimized Tl2TcPbBr8 structure.

Size of the total moment ... 2.97 μB/cell
Uncorrected formation energy ... -0.649 eV per atom
SG ... No. 2

Lattice parameters (Å, degrees): 6.8894 7.5868 8.6821 89.73 89.67 89.15
Last column: nearest neighbours and their distance in Å.
Positions (direct):
Tl 0.0014 0.0007 0.2368  4 Br 3.13-3.43
Tl 0.9986 0.9993 0.7632  4 Br 3.13-3.43
Tc 0.5000 0.5000 0.0000  6 Br 2.50-2.56
Pb 0.5000 0.5000 0.5000  6 Br 3.00-3.11
Br 0.2447 0.8233 0.4999  1 Pb 3.00, 2 Tl 3.13
Br 0.2689 0.3897 0.2102  1 Tc 2.56
Br 0.2696 0.3886 0.7928  1 Tc 2.56
Br 0.3296 0.7935 0.9988  1 Tc 2.50
Br 0.6704 0.2065 0.0012  1 Tc 2.50
Br 0.7304 0.6114 0.2072  1 Tc 2.56
Br 0.7311 0.6103 0.7898  1 Tc 2.56
Br 0.7553 0.1767 0.5001  1 Pb 3.00, 2 Tl 3.13